Entry 1:
Density functional theory data (PBE-GGA) for a relaxed structure of EuNpGe2.

Structure (extended XYZ):
```
4
Lattice="3.317 0.000 0.000 0.000 3.317 0.000 0.000 0.000 8.346" Properties=species:S:1:pos:R:3 pbc="T T T"
Eu 0.000 0.000 0.000
Np 0.000 0.000 4.173
Ge 1.659 1.659 2.160
Ge 1.659 1.659 6.186
```

Summary:
Total magnetic moment: 2.7 μB per formula unit
E above lowest polymorph: 0.00 eV/f.u.
ΔE_f: -124.6 kJ/mol of formula units



Entry 2:
Density functional theory data (PBE-GGA) for a relaxed structure of MgPdS2Cl.

Structure (extended XYZ):
```
5
Lattice="4.757 0.000 0.000 0.000 4.757 0.000 0.000 0.000 4.748" Properties=species:S:1:pos:R:3 pbc="T T T"
Mg 0.000 0.000 0.000
Pd 2.378 2.378 2.374
S 0.000 2.378 2.374
S 2.378 0.000 2.374
Cl 2.378 2.378 0.000
```

Summary:
Total magnetic moment: 0.0 μB per formula unit
E above lowest polymorph: 0.00 eV/f.u.



Entry 3:
Density functional theory data (PBE-GGA) for a relaxed structure of LaPmSm2Er5.

Structure (extended XYZ):
```
18
Lattice="-4.369 4.369 7.720 4.369 -4.369 7.720 4.369 4.369 -7.720" Properties=species:S:1:pos:R:3 pbc="T T T"
La 0.000 0.000 3.860
La 0.000 0.000 11.579
Pm 4.369 0.000 3.860
Pm 0.000 4.369 3.860
Sm 5.389 1.020 0.000
Sm 1.020 3.350 0.000
Sm 3.350 1.020 7.720
Sm -1.020 3.350 7.720
Er 0.000 0.000 0.000
Er 2.557 1.812 -2.078
Er 2.557 -1.812 5.642
Er 2.557 1.812 2.078
Er 2.557 -1.812 9.798
Er 0.000 0.000 7.720
Er 1.812 6.182 -2.078
Er 1.812 2.557 5.642
Er 1.812 6.182 2.078
Er 1.812 2.557 9.798
```

Summary:
Total magnetic moment: 0.0 μB per formula unit
ΔE_f: 220.2 kJ/mol of formula units



Entry 4:
Density functional theory data (PBE-GGA) for a relaxed structure of CaPmDy2Y4.

Structure (extended XYZ):
```
16
Lattice="-3.430 5.998 6.718 3.430 -5.998 6.718 3.430 5.998 -6.718" Properties=species:S:1:pos:R:3 pbc="T T T"
Ca -1.715 2.999 3.359
Ca 1.715 2.999 3.359
Pm 0.000 0.000 0.000
Pm 0.000 5.998 0.000
Dy 1.715 2.999 -3.359
Dy 1.715 -2.999 3.359
Dy 3.430 0.000 0.000
Dy 0.000 0.000 6.718
Y 3.430 -0.187 3.334
Y 3.430 5.811 -3.334
Y 1.721 2.999 -0.055
Y 5.139 2.999 -0.055
Y -1.709 2.999 6.773
Y 1.709 2.999 6.773
Y 0.000 0.187 10.052
Y 0.000 6.185 3.384
```

Summary:
Total magnetic moment: 2.5 μB per formula unit
ΔE_f: 333.4 kJ/mol of formula units



Entry 5:
Density functional theory data (PBE-GGA) for a relaxed structure of FeAgTePd.

Structure (extended XYZ):
```
4
Lattice="3.431 0.000 0.000 0.000 4.148 0.000 -1.645 0.000 5.146" Properties=species:S:1:pos:R:3 pbc="T T T"
Fe 0.000 0.000 0.000
Ag 1.772 0.000 2.322
Te 0.082 2.074 4.386
Pd 0.063 2.074 1.622
```

Summary:
Total magnetic moment: 2.9 μB per formula unit
E above lowest polymorph: 0.22 eV/f.u.



Entry 6:
Density functional theory data (PBE-GGA) for a relaxed structure of TbGeCl.

Structure (extended XYZ):
```
12
Lattice="4.260 -5.787 0.000 4.260 5.787 0.000 -3.999 0.000 6.366" Properties=species:S:1:pos:R:3 pbc="T T T"
Tb 2.261 5.005 3.183
Tb 4.257 1.063 0.002
Tb 2.257 -1.063 3.186
Tb 4.260 -5.005 0.000
Ge 0.088 3.861 5.142
Ge 4.437 3.861 1.225
Ge 2.088 -3.861 1.959
Ge 2.437 -3.861 4.408
Cl 2.056 1.309 1.640
Cl 0.057 -1.309 4.823
Cl 2.460 1.304 4.732
Cl 4.459 -1.304 1.548
```

Summary:
Energy: -4.822 eV/atom
Total magnetic moment: 0.0 μB per formula unit



Entry 7:
Density functional theory data (PBE-GGA) for a relaxed structure of Cs2KTl2Te4.

Structure (extended XYZ):
```
9
Lattice="9.317 -2.835 0.000 9.317 2.835 0.000 -2.423 0.000 7.683" Properties=species:S:1:pos:R:3 pbc="T T T"
Cs 2.439 0.000 0.624
Cs 13.772 0.000 7.058
K -1.212 0.000 3.841
Tl 5.043 0.000 3.871
Tl 11.168 0.000 3.811
Te 2.153 0.000 5.121
Te 7.016 0.000 6.220
Te 9.195 0.000 1.462
Te 14.058 0.000 2.562
```

Summary:
Energy: -2.916 eV/atom
Total magnetic moment: 0.0 μB per formula unit



Entry 8:
Density functional theory data (PBE-GGA) for a relaxed structure of NbTlTe3.

Structure (extended XYZ):
```
20
Lattice="6.496 -7.231 0.000 6.496 7.231 0.000 -0.667 0.000 6.333" Properties=species:S:1:pos:R:3 pbc="T T T"
Nb 5.996 6.401 4.750
Nb 6.330 4.634 1.583
Nb 5.996 -4.634 4.750
Nb 6.330 -6.401 1.583
Tl 4.286 1.175 6.147
Tl 4.619 -1.175 2.980
Tl 7.707 1.175 3.353
Tl 8.040 -1.175 0.186
Te 4.142 4.474 5.559
Te 1.523 0.933 3.854
Te 1.856 -0.933 0.687
Te 4.799 2.528 2.768
Te 7.850 4.474 3.941
Te 7.861 2.528 0.399
Te 4.465 -2.528 5.935
Te 4.476 -4.474 2.392
Te 7.527 -2.528 3.565
Te 10.470 0.933 5.646
Te 10.803 -0.933 2.479
Te 8.184 -4.474 0.774
```

Summary:
Total magnetic moment: 0.0 μB per formula unit
E above lowest polymorph: 0.00 eV/f.u.